No. 1
Here is an optimized crystal structure of ScFe3Sn from Alexandria. Energies are from GGA-PBE.

Cell lengths 4.742, 4.742, 4.742 Å; angles 90.00, 90.00, 90.00 degrees
Fractional positions:
Sc: 0.000 0.000 0.000
Fe: 0.000 0.500 0.500
Fe: 0.500 0.000 0.500
Fe: 0.500 0.500 0.000
Sn: 0.500 0.500 0.500

## Properties
As for the energy of formation from the pure elements: 1.03 eV/atom. Its space-group type is Pm-3m, No. 221. The value obtained for the volume is 106.6 Å³/cell. The crystal system is cubic.



No. 2
Here is an optimized crystal structure of ScFe2Sn2 from Alexandria. Energies are from GGA-PBE.

Cell lengths 7.557, 7.557, 2.980 Å; angles 90.00, 90.00, 90.00 degrees
Fractional positions:
Sc: 0.000 0.000 0.000
Sc: 0.500 0.500 0.000
Fe: 0.152 0.348 0.500
Fe: 0.348 0.848 0.500
Fe: 0.652 0.152 0.500
Fe: 0.848 0.652 0.500
Sn: 0.144 0.644 0.000
Sn: 0.356 0.144 0.000
Sn: 0.644 0.856 0.000
Sn: 0.856 0.356 0.000

## Properties
As for the energy of formation from the pure elements: 0.11 eV/atom. Its space-group type is P4/mbm, No. 127. The value obtained for the volume is 170.2 Å³/cell. The crystal system is tetragonal.